# 1
PBE with a Hubbard U PmTmMn2O6, optimized geometry; raw total energy = -7.94 eV/atom
1.0
-0.4158 -2.4551 -4.9695
3.7734 -3.6626 -1.5709
-1.3350 -5.3894 -0.2437
Pm Tm Mn O
1 1 2 6
direct
0.7846 0.7818 0.6465
0.2994 0.2975 0.1078
0.5173 0.5190 0.4456
0.0168 0.0143 0.9547
0.6514 0.2561 0.2258
0.2493 0.8694 0.2272
0.8824 0.6657 0.2133
0.3586 0.7344 0.7238
0.7331 0.1808 0.7299
0.1687 0.3427 0.7406

=====

# 2
PBE with a Hubbard U PmUMn2O8, optimized geometry; raw total energy = -8.15 eV/atom
1.0
5.2404 0.0000 0.0000
0.0000 5.2404 0.0000
-2.6202 -2.6202 5.5371
Pm U Mn O
1 1 2 8
direct
0.7500 0.2500 0.5000
0.0000 0.0000 0.0000
0.5000 0.5000 0.0000
0.2500 0.7500 0.5000
0.7469 0.8526 0.1249
0.3780 0.2723 0.1249
0.5981 0.6756 0.6534
0.0553 0.9778 0.6534
0.0222 0.4019 0.3466
0.3244 0.9447 0.3466
0.1474 0.6220 0.8751
0.7277 0.2531 0.8751

=====

# 3
PBE with a Hubbard U PmUMnO6, optimized geometry; raw total energy = -8.66 eV/atom
1.0
5.1076 0.0000 0.0000
0.0000 5.1076 0.0000
0.0000 0.0000 9.9234
Pm U Mn O
2 2 2 12
direct
0.5000 0.5000 0.1746
0.0000 0.0000 0.6746
0.5000 0.5000 0.8326
0.0000 0.0000 0.3326
0.5000 0.5000 0.5007
0.0000 0.0000 0.0007
0.1894 0.8106 0.4803
0.8106 0.1894 0.4803
0.3106 0.3106 0.9803
0.6894 0.6894 0.9803
0.1732 0.8268 0.1599
0.8268 0.1732 0.1599
0.3268 0.3268 0.6599
0.6732 0.6732 0.6599
0.8032 0.1968 0.8559
0.1968 0.8032 0.8559
0.6968 0.6968 0.3559
0.3032 0.3032 0.3559

=====

# 4
PBE with a Hubbard U PmMnVO5, optimized geometry; raw total energy = -7.86 eV/atom
1.0
-5.9495 -0.0732 -1.6474
-0.7684 -4.3151 4.3480
1.6253 7.1359 3.6443
Pm Mn V O
2 2 2 10
direct
0.0000 0.0000 0.5000
0.0000 0.0000 0.0000
0.3197 0.6803 0.2500
0.6803 0.3197 0.7500
0.6329 0.3671 0.2500
0.3671 0.6329 0.7500
0.1059 0.8941 0.2500
0.8941 0.1059 0.7500
0.7483 0.2656 0.0786
0.2517 0.7344 0.9214
0.7344 0.2517 0.4214
0.2656 0.7483 0.5786
0.6839 0.6748 0.3431
0.3161 0.3252 0.6569
0.3252 0.3161 0.1569
0.6748 0.6839 0.8431

=====

# 5
PBE with a Hubbard U PmZrMnO6, optimized geometry; raw total energy = -7.94 eV/atom
1.0
4.9295 0.0000 0.0000
0.0000 4.9295 0.0000
0.0000 0.0000 9.8237
Pm Zr Mn O
2 2 2 12
direct
0.5000 0.5000 0.5061
0.0000 0.0000 0.0061
0.5000 0.5000 0.1642
0.0000 0.0000 0.6642
0.5000 0.5000 0.8355
0.0000 0.0000 0.3355
0.1744 0.8256 0.4869
0.8256 0.1744 0.4869
0.3256 0.3256 0.9869
0.6744 0.6744 0.9869
0.2006 0.7994 0.1950
0.7994 0.2006 0.1950
0.2994 0.2994 0.6950
0.7006 0.7006 0.6950
0.7774 0.2226 0.8152
0.2226 0.7774 0.8152
0.7226 0.7226 0.3152
0.2774 0.2774 0.3152

=====

# 6
PBE with a Hubbard U PmZrMn2O8, optimized geometry; raw total energy = -7.70 eV/atom
1.0
-2.6790 -4.2268 0.8998
0.6168 -1.4218 -4.8426
5.7824 0.1113 3.3731
Pm Zr Mn O
1 1 2 8
direct
0.7500 0.2500 0.5000
0.0000 0.0000 0.0000
0.5000 0.5000 0.0000
0.2500 0.7500 0.5000
0.7392 0.8624 0.1363
0.3971 0.2738 0.1363
0.5807 0.6865 0.6618
0.0811 0.9753 0.6618
0.0247 0.4193 0.3382
0.3135 0.9189 0.3382
0.1376 0.6029 0.8637
0.7262 0.2608 0.8637